This record from Alexandria describes a relaxed KAcNiF6 crystal. The functional is GGA+U.

Properties
DFT total energy ... -94.6 eV for the cell shown

a b c (Å): 6.127 6.127 9.946
angles (deg): 90.00 90.00 120.00
Fractional coordinates of all 18 atoms:
K: 0.000 0.000 0.000
K: 0.000 0.000 0.500
Ac: 0.333 0.667 0.250
Ac: 0.667 0.333 0.750
Ni: 0.333 0.667 0.750
Ni: 0.667 0.333 0.250
F: 0.047 0.391 0.639
F: 0.047 0.655 0.861
F: 0.345 0.391 0.861
F: 0.345 0.953 0.639
F: 0.391 0.047 0.139
F: 0.391 0.345 0.361
F: 0.609 0.655 0.639
F: 0.609 0.953 0.861
F: 0.655 0.047 0.361
F: 0.655 0.609 0.139
F: 0.953 0.345 0.139
F: 0.953 0.609 0.361